(1)
The following is a DFT calculation (PBE-GGA) of a relaxed structure of CaErCu2.

Properties
Raw total energy in eV per atom: -3.874
Crystal system: tetragonal
Formation energy from the elements in kJ/mol of formula units: -71
Space-group type: No. 123
Relative energy among the computed polymorphs in eV/atom: 0.0000

Cell: 3.5004 3.5004 7.0356 Å, 90.00 90.00 90.00°
Sites, in units of the cell vectors:
Cu: 0.0000 0.0000 0.7852
Ca: 0.5000 0.5000 0.5000
Er: 0.5000 0.5000 0.0000
Cu: 0.0000 0.0000 0.2148

***

(2)
The following is a DFT calculation (PBE-GGA) of a relaxed structure of RbTlHgSe2.

Properties
Raw formation energy in eV per atom: -0.56
Raw total energy in eV per atom: -2.684
Crystal system: monoclinic
Space-group type: No. 13

Cell: 5.9814 7.6269 8.6081 Å, 91.56 90.00 90.00°
Sites, in units of the cell vectors:
Se: 0.7649 0.2508 0.5926
Se: 0.7649 0.7492 0.9074
Rb: 0.7887 0.5000 0.2500
Hg: 0.0000 0.0000 0.5000
Tl: 0.5486 0.0000 0.2500
Rb: 0.2113 0.5000 0.7500
Se: 0.2351 0.7492 0.4074
Hg: 0.0000 0.0000 0.0000
Se: 0.2351 0.2508 0.0926
Tl: 0.4514 0.0000 0.7500

***

Question: raw total energy of number 1 (CaErCu2)?
Answer: -3.874 eV per atom

***

Please write out number 2 again, unchanged.
The following is a DFT calculation (PBE-GGA) of a relaxed structure of RbTlHgSe2.

Properties
Raw formation energy in eV per atom: -0.56
Raw total energy in eV per atom: -2.684
Crystal system: monoclinic
Space-group type: No. 13

Cell: 5.9814 7.6269 8.6081 Å, 91.56 90.00 90.00°
Sites, in units of the cell vectors:
Se: 0.7649 0.2508 0.5926
Se: 0.7649 0.7492 0.9074
Rb: 0.7887 0.5000 0.2500
Hg: 0.0000 0.0000 0.5000
Tl: 0.5486 0.0000 0.2500
Rb: 0.2113 0.5000 0.7500
Se: 0.2351 0.7492 0.4074
Hg: 0.0000 0.0000 0.0000
Se: 0.2351 0.2508 0.0926
Tl: 0.4514 0.0000 0.7500

***

Question: Among the records above, which one has the highest raw total energy?
Answer: RbTlHgSe2